DFT (PBEsol) results for a geometry-optimized ReTc2Ru structure.

The structure in extended XYZ format:
```
4
Lattice="-3.253 -0.011 2.002 -0.066 -3.817 -0.132 3.665 1.763 2.331" Properties=species:S:1:pos:R:3 pbc="T T T"
Re -1.659 -1.914 0.935
Tc -0.624 -0.080 2.634
Tc 0.971 -1.984 1.566
Ru 0.000 0.000 0.000
```

Summary:
* E above lowest polymorph: 0.19 kcal/mol of atoms
* SG: I4/mmm (139)
* E_form: 0.048 eV/atom

DFT (PBEsol) results for a geometry-optimized Re2TcRu structure.

The structure in extended XYZ format:
```
4
Lattice="3.841 0.000 0.000 0.000 3.841 0.000 -1.920 -1.920 3.836" Properties=species:S:1:pos:R:3 pbc="T T T"
Re 1.920 0.000 1.918
Re 0.000 1.920 1.918
Tc 0.000 0.000 0.000
Ru 1.920 1.920 0.000
```

Summary:
* E above lowest polymorph: 0.11 kcal/mol of atoms
* SG: I4/mmm (139)
* E_form: 0.038 eV/atom

DFT (PBEsol) results for a geometry-optimized Re2TcRu structure.

The structure in extended XYZ format:
```
4
Lattice="2.706 0.000 0.000 0.000 4.710 -0.003 0.000 -1.576 4.438" Properties=species:S:1:pos:R:3 pbc="T T T"
Re 0.000 2.355 -0.002
Re 0.000 -0.788 2.219
Tc 1.353 1.567 2.218
Ru 1.353 0.000 0.000
```

Summary:
* E above lowest polymorph: 0.20 kcal/mol of atoms
* SG: Cmmm (65)
* E_form: 0.042 eV/atom

DFT (PBEsol) results for a geometry-optimized ReTc2Ru structure.

The structure in extended XYZ format:
```
4
Lattice="-1.644 2.103 -0.389 -3.694 -2.690 1.073 1.667 2.024 3.894" Properties=species:S:1:pos:R:3 pbc="T T T"
Re -0.822 1.052 -0.195
Tc -1.847 -1.345 0.537
Tc 0.834 1.012 1.947
Ru -1.836 0.719 2.289
```

Summary:
* E above lowest polymorph: 0.25 kcal/mol of atoms
* SG: Cmmm (65)
* E_form: 0.050 eV/atom

DFT (PBEsol) results for a geometry-optimized ReTe2Ru structure.

The structure in extended XYZ format:
```
4
Lattice="-3.035 -0.092 0.174 0.273 -0.121 4.695 1.233 5.247 -2.294" Properties=species:S:1:pos:R:3 pbc="T T T"
Re -0.142 4.938 0.135
Ru -1.596 2.696 0.162
Te -0.007 0.246 0.007
Te 0.069 2.296 2.412
```

Summary:
* E above lowest polymorph: 0.00 kcal/mol of atoms
* SG: Imm2 (44)
* raw formation energy: 0.701 eV per atom

DFT (PBEsol) results for a geometry-optimized ReTe2Ru structure.

The structure in extended XYZ format:
```
4
Lattice="-0.268 3.297 2.099 -3.889 -0.018 -0.467 1.620 -4.165 3.094" Properties=species:S:1:pos:R:3 pbc="T T T"
Re -2.079 1.639 0.816
Ru -2.174 -1.272 1.721
Te 0.000 0.000 0.000
Te -0.363 0.385 3.004
```

Summary:
* E above lowest polymorph: 4.38 kcal/mol of atoms
* SG: I-4m2 (119)
* raw formation energy: 0.891 eV per atom

DFT (PBEsol) results for a geometry-optimized Re2TeRu structure.

The structure in extended XYZ format:
```
4
Lattice="2.932 0.000 0.000 0.000 4.725 -0.002 -1.466 -0.494 4.570" Properties=species:S:1:pos:R:3 pbc="T T T"
Re 1.466 4.097 4.426
Re 0.000 3.314 2.275
Ru 1.466 2.425 0.146
Te 1.466 0.987 2.290
```

Summary:
* SG: Cm (8)
* raw formation energy: 0.545 eV per atom

DFT (PBEsol) results for a geometry-optimized ReTe2Ru structure.

The structure in extended XYZ format:
```
4
Lattice="-0.985 -2.988 0.451 3.510 -2.351 3.287 -1.150 -0.526 5.200" Properties=species:S:1:pos:R:3 pbc="T T T"
Re 1.180 -1.438 4.244
Ru -0.492 -1.494 0.226
Te 1.541 -2.904 6.522
Te -0.167 -2.961 2.417
```

Summary:
* E above lowest polymorph: 7.87 kcal/mol of atoms
* SG: Immm (71)
* raw formation energy: 1.042 eV per atom

DFT (PBEsol) results for a geometry-optimized Re2TeRu structure.

The structure in extended XYZ format:
```
4
Lattice="3.053 0.000 0.000 0.000 4.446 0.000 -1.526 -2.223 4.643" Properties=species:S:1:pos:R:3 pbc="T T T"
Re 1.526 2.223 2.103
Re 0.000 0.000 2.540
Ru 1.526 0.000 0.000
Te 0.000 2.223 0.000
```

Summary:
* SG: Immm (71)
* raw formation energy: 0.630 eV per atom

DFT (PBEsol) results for a geometry-optimized Re2TeRu structure.

The structure in extended XYZ format:
```
4
Lattice="2.959 0.000 0.000 0.000 4.582 -0.017 -1.479 -0.452 4.716" Properties=species:S:1:pos:R:3 pbc="T T T"
Re 0.000 0.807 2.147
Re 1.479 3.323 2.552
Ru 1.479 0.000 0.000
Te 0.000 2.291 -0.008
```

Summary:
* SG: C2/m (12)
* raw formation energy: 0.498 eV per atom

DFT (PBEsol) results for a geometry-optimized Re2TeRu structure.

The structure in extended XYZ format:
```
4
Lattice="3.019 0.000 0.000 0.000 3.019 0.000 0.000 0.000 6.847" Properties=species:S:1:pos:R:3 pbc="T T T"
Re 0.000 0.000 5.162
Re 0.000 0.000 1.685
Ru 1.509 1.509 0.000
Te 1.509 1.509 3.424
```

Summary:
* SG: P4/mmm (123)
* raw formation energy: 0.660 eV per atom

DFT (PBEsol) results for a geometry-optimized Ti2ReRu structure.

The structure in extended XYZ format:
```
4
Lattice="4.333 0.000 0.000 2.166 3.752 0.000 2.166 1.251 3.537" Properties=species:S:1:pos:R:3 pbc="T T T"
Re 4.333 2.501 1.769
Ti 2.166 1.251 0.884
Ti 6.499 3.752 2.653
Ru 0.000 0.000 0.000
```

Summary:
* SG: Fm-3m (225)
* E_form: -0.553 eV/atom

DFT (PBEsol) results for a geometry-optimized TiReRu3 structure.

The structure in extended XYZ format:
```
5
Lattice="4.343 0.000 0.000 0.000 4.343 0.000 0.000 0.000 4.343" Properties=species:S:1:pos:R:3 pbc="T T T"
Re 2.172 2.172 2.172
Ti 0.000 0.000 0.000
Ru 0.000 2.172 0.000
Ru 0.000 0.000 2.172
Ru 2.172 0.000 0.000
```

Summary:
* SG: Pm-3m (221)
* E_form: 1.613 eV/atom

DFT (PBEsol) results for a geometry-optimized TlRe2Ru structure.

The structure in extended XYZ format:
```
4
Lattice="2.848 0.000 0.000 0.000 2.848 0.000 0.000 0.000 7.848" Properties=species:S:1:pos:R:3 pbc="T T T"
Re 0.000 0.000 0.225
Re 1.424 1.424 1.997
Ru 0.000 0.000 3.718
Tl 1.424 1.424 5.832
```

Summary:
* E above lowest polymorph: 0.00 kcal/mol of atoms
* SG: P4mm (99)
* E_form: 0.445 eV/atom

DFT (PBEsol) results for a geometry-optimized TlReRu3 structure.

The structure in extended XYZ format:
```
5
Lattice="4.642 0.000 0.000 0.000 4.642 0.000 0.000 0.000 4.642" Properties=species:S:1:pos:R:3 pbc="T T T"
Re 0.000 0.000 0.000
Tl 2.321 2.321 2.321
Ru 0.000 2.321 0.000
Ru 0.000 0.000 2.321
Ru 2.321 0.000 0.000
```

Summary:
* SG: Pm-3m (221)
* E_form: 1.625 eV/atom

DFT (PBEsol) results for a geometry-optimized TlReRu2 structure.

The structure in extended XYZ format:
```
4
Lattice="2.855 0.000 0.000 0.000 4.794 0.020 -1.428 -0.928 4.537" Properties=species:S:1:pos:R:3 pbc="T T T"
Re 1.428 0.518 2.148
Ru 1.428 -0.809 4.536
Ru 0.000 3.147 2.391
Tl 1.428 2.478 0.030
```

Summary:
* E above lowest polymorph: 6.17 kcal/mol of atoms
* SG: Cm (8)
* E_form: 0.554 eV/atom

DFT (PBEsol) results for a geometry-optimized TlRe2Ru structure.

The structure in extended XYZ format:
```
4
Lattice="-1.159 -0.932 2.477 1.750 -4.273 -0.789 3.918 1.184 2.278" Properties=species:S:1:pos:R:3 pbc="T T T"
Re 1.959 0.592 1.139
Re 0.875 -2.136 -0.394
Ru 2.255 -2.010 1.983
Tl -0.579 -0.466 1.238
```

Summary:
* E above lowest polymorph: 14.53 kcal/mol of atoms
* SG: P4/mmm (123)
* E_form: 1.075 eV/atom

DFT (PBEsol) results for a geometry-optimized TlRe2Ru structure.

The structure in extended XYZ format:
```
4
Lattice="-2.653 -0.789 -0.575 -0.143 -1.957 3.345 -2.002 4.762 2.700" Properties=species:S:1:pos:R:3 pbc="T T T"
Re -0.088 0.200 0.113
Re -1.872 -0.238 2.029
Ru -3.612 1.495 0.720
Tl -2.879 2.151 3.383
```

Summary:
* E above lowest polymorph: 2.94 kcal/mol of atoms
* SG: Pmm2 (25)
* E_form: 0.573 eV/atom

DFT (PBEsol) results for a geometry-optimized TlReRu2 structure.

The structure in extended XYZ format:
```
4
Lattice="-2.672 -0.036 -1.002 -1.078 -3.494 2.999 -0.925 4.014 2.322" Properties=species:S:1:pos:R:3 pbc="T T T"
Re -1.336 -0.018 -0.501
Ru -0.463 2.007 1.161
Ru -0.539 -1.747 1.500
Tl -2.337 0.242 2.160
```

Summary:
* E above lowest polymorph: 8.45 kcal/mol of atoms
* SG: Cmmm (65)
* E_form: 0.653 eV/atom

DFT (PBEsol) results for a geometry-optimized TlReRu2 structure.

The structure in extended XYZ format:
```
4
Lattice="-0.103 -1.949 2.050 4.518 1.175 -0.610 -1.329 3.533 3.292" Properties=species:S:1:pos:R:3 pbc="T T T"
Re -0.052 -0.974 1.025
Ru 1.223 1.911 3.832
Ru 1.863 0.848 0.900
Tl -0.664 1.767 1.646
```

Summary:
* E above lowest polymorph: 6.83 kcal/mol of atoms
* SG: C2/m (12)
* E_form: 0.583 eV/atom

| no. | DOS at the Fermi energy (states/eV per cell) | total energy (eV per cell) |
| --- | --- | --- |
| 1 | 4.35 | -45.85 |
| 2 | 3.77 | -47.95 |
| 3 | 3.78 | -47.93 |
| 4 | 3.78 | -45.84 |
| 5 | 4.38 | -27.75 |
| 6 | 5.19 | -26.99 |
| 7 | 3.65 | -38.18 |
| 8 | 5.13 | -26.39 |
| 9 | 3.23 | -37.84 |
| 10 | 3.06 | -38.37 |
| 11 | 4.27 | -37.72 |
| 12 | 3.43 | -42.36 |
| 13 | 5.46 | -44.11 |
| 14 | 4.67 | -37.69 |
| 15 | 8.98 | -38.35 |
| 16 | 4.63 | -34.09 |
| 17 | 4.77 | -35.17 |
| 18 | 4.39 | -37.18 |
| 19 | 5.70 | -33.69 |
| 20 | 4.24 | -33.98 |